No. 1
SiPPdAu2 | PBEsol | optimized geometry

abc: 4.5635 4.5635 4.5633
angles: 90.00 90.00 90.00
Last column: nearest neighbours and their distance in Å.
Space group P4/mmm (No. 123)
One atom of each set of equivalent atoms:
Si1 0.0000 0.0000 0.0000 [1 per cell]  2 P 2.28
P1 0.0000 0.0000 0.5000 [1 per cell]  2 Si 2.28, 4 Au 2.28
Pd1 0.5000 0.5000 0.0000 [1 per cell]  8 Au 3.23, 4 Si 3.23
Au1 0.0000 0.5000 0.5000 [2 per cell]  2 P 2.28

## Properties
Formation energy from raw total energies: 0.611 eV per atom
Total moment: 0.000 Bohr magnetons per cell
Electronic total energy: -22.29 eV per cell
Density: 9.77 g/cm3

No. 2
NaIn3Ni | PBEsol | optimized geometry

abc: 4.9223 4.9223 4.9223
angles: 90.00 90.00 90.00
Last column: nearest neighbours and their distance in Å.
Space group Pm-3m (No. 221)
One atom of each set of equivalent atoms:
Na1 0.0000 0.0000 0.0000 [1 per cell]  12 In 3.48
In1 0.0000 0.5000 0.5000 [3 per cell]  2 Ni 2.46
Ni1 0.5000 0.5000 0.5000 [1 per cell]  6 In 2.46

## Properties
Total moment: 0.001 Bohr magnetons per cell
Electronic total energy: -16.98 eV per cell
Density: 5.93 g/cm3

No. 3
Sr4TlCu2BiO10 | PBEsol | optimized geometry

abc: 5.2211 5.2211 17.9615
angles: 90.00 90.00 90.00
Last column: nearest neighbours and their distance in Å.
Space group I4/mmm (No. 139)
One atom of each set of equivalent atoms:
Sr1 0.0000 0.5000 0.1481 [8 per cell]  9 O 2.60-2.68
Tl1 0.0000 0.0000 0.0000 [2 per cell]  2 O 2.06
Cu1 0.0000 0.0000 0.2539 [4 per cell]  4 O 1.85
Bi1 0.0000 0.0000 0.5000 [2 per cell]  2 O 2.19
O1 0.0000 0.0000 0.1148 [4 per cell]  1 Tl 2.06
O2 0.0000 0.0000 0.3779 [4 per cell]  1 Bi 2.19, 1 Cu 2.23
O3 0.0000 0.5000 0.0000 [4 per cell]  2 Bi 2.61, 2 Tl 2.61, 2 Sr 2.66
O4 0.2500 0.2500 0.2500 [8 per cell]  2 Cu 1.85

## Properties
Formation energy from raw total energies: -1.715 eV per atom
Total moment: 0.023 Bohr magnetons per cell
Electronic total energy: -212.60 eV per cell
Density: 7.13 g/cm3

No. 4
Ba3MoF | PBEsol | optimized geometry

abc: 5.3755 5.3755 5.3755
angles: 90.00 90.00 90.00
Last column: nearest neighbours and their distance in Å.
Space group Pm-3m (No. 221)
One atom of each set of equivalent atoms:
Ba1 0.0000 0.0000 0.5000 [3 per cell]  2 F 2.69
Mo1 0.5000 0.5000 0.5000 [1 per cell]  12 Ba 3.80
F1 0.0000 0.0000 0.0000 [1 per cell]  6 Ba 2.69

## Properties
Formation energy from raw total energies: -0.342 eV per atom
Total moment: 2.348 Bohr magnetons per cell
Electronic total energy: -21.85 eV per cell
Density: 5.63 g/cm3

No. 5
Li4Mn3Co2Sn3O16 | PBEsol | optimized geometry

abc: 10.3271 5.9476 9.5175
angles: 90.00 90.04 90.00
Last column: nearest neighbours and their distance in Å.
Space group Cm (No. 8)
One atom of each set of equivalent atoms:
Li1 0.0000 0.0000 0.0000 [2 per cell]  2 O 1.76-1.86
Li2 0.0098 0.0000 0.4906 [2 per cell]  3 O 1.76-1.90
Li3 0.1431 0.5000 0.8922 [2 per cell]  4 O 1.91-2.01
Li4 0.3090 0.0000 0.3803 [2 per cell]  4 O 1.94-2.05
Mn1 0.0665 0.2544 0.2125 [4 per cell]  6 O 1.91-1.99
Mn2 0.1513 0.0000 0.7152 [2 per cell]  6 O 1.89-1.95
Co1 0.1440 0.5000 0.4846 [2 per cell]  6 O 2.05-2.11
Co2 0.3142 0.0000 0.9953 [2 per cell]  6 O 2.03-2.16
Sn1 0.3129 0.5000 0.2107 [2 per cell]  6 O 2.07-2.08
Sn2 0.3966 0.2471 0.7106 [4 per cell]  6 O 2.05-2.10
O1 0.0009 0.5000 0.3267 [2 per cell]  2 Mn 1.94, 1 Li 2.05, 1 Co 2.11
O2 0.0740 0.2390 0.6030 [4 per cell]  1 Li 1.90, 1 Mn 1.95, 1 Co 2.05, 1 Sn 2.10
O3 0.1370 0.5000 0.1033 [2 per cell]  2 Mn 1.93, 1 Li 2.01, 1 Sn 2.08
O4 0.1488 0.0000 0.1105 [2 per cell]  1 Li 1.86, 2 Mn 1.99, 1 Co 2.03
O5 0.2134 0.2713 0.3332 [4 per cell]  1 Mn 1.91, 1 Li 1.94, 1 Sn 2.07, 1 Co 2.11
O6 0.2330 0.2168 0.8362 [4 per cell]  1 Mn 1.92, 1 Li 2.00, 1 Sn 2.08
O7 0.3031 0.0000 0.5949 [2 per cell]  1 Mn 1.94, 1 Li 2.04, 2 Sn 2.08
O8 0.3275 0.5000 0.5835 [2 per cell]  2 Sn 2.06, 1 Li 2.08, 1 Co 2.11
O9 0.4111 0.2528 0.0983 [4 per cell]  1 Mn 1.94, 1 Li 1.97, 1 Co 2.05, 1 Sn 2.08
O10 0.4640 0.0000 0.8416 [2 per cell]  1 Li 1.91, 2 Sn 2.05, 1 Co 2.13
O11 0.4932 0.5000 0.3069 [2 per cell]  1 Li 1.76, 2 Mn 1.92
O12 0.4930 0.5000 0.8157 [2 per cell]  1 Li 1.76, 1 Mn 1.89

## Properties
Formation energy from raw total energies: -1.570 eV per atom
Total moment: 30.000 Bohr magnetons per cell
Electronic total energy: -386.72 eV per cell
Density: 5.24 g/cm3

No. 6
BaLi3Al | PBEsol | optimized geometry

abc: 5.1598 5.1598 5.1598
angles: 90.00 90.00 90.00
Last column: nearest neighbours and their distance in Å.
Space group Pm-3m (No. 221)
One atom of each set of equivalent atoms:
Ba1 0.0000 0.0000 0.0000 [1 per cell]  12 Li 3.65
Li1 0.0000 0.5000 0.5000 [3 per cell]  2 Al 2.58
Al1 0.5000 0.5000 0.5000 [1 per cell]  6 Li 2.58

## Properties
Total moment: 0.000 Bohr magnetons per cell
Electronic total energy: -11.99 eV per cell
E above lowest polymorph: 0.0 meV per atom
Density: 2.24 g/cm3

No. 7
ZnRe2Ag | PBEsol | optimized geometry

abc: 2.7148 2.7148 27.6951
angles: 90.00 90.00 120.00
Last column: nearest neighbours and their distance in Å.
Space group R-3m (No. 166, hexagonal axes)
One atom of each set of equivalent atoms:
Zn1 0.0000 0.0000 0.0000 [3 per cell]  6 Re 2.71, 6 Zn 2.71
Re1 0.0000 0.0000 0.2534 [6 per cell]  3 Zn 2.71, 6 Re 2.71, 3 Ag 2.87
Ag1 0.0000 0.0000 0.5000 [3 per cell]  6 Ag 2.71, 6 Re 2.87

## Properties
Total moment: 0.000 Bohr magnetons per cell
Electronic total energy: -89.48 eV per cell
Density: 15.38 g/cm3

No. 8
LaBe2As | PBEsol | optimized geometry

abc: 4.3484 4.3484 15.9187
angles: 90.00 90.00 90.00
Last column: nearest neighbours and their distance in Å.
Space group I4_1/amd (No. 141, origin choice 2)
One atom of each set of equivalent atoms:
La1 0.0000 0.2500 0.3750 [4 per cell]  4 As 3.07, 8 Be 3.14
Be1 0.0000 0.0000 0.0000 [8 per cell]  2 Be 2.17, 2 As 2.27
As1 0.0000 0.2500 0.8750 [4 per cell]  4 Be 2.27

## Properties
Total moment: 0.001 Bohr magnetons per cell
Electronic total energy: -77.76 eV per cell
Density: 5.12 g/cm3

No. 9
HfReSeN2 | PBEsol | optimized geometry

abc: 4.0120 4.0120 5.4314
angles: 90.00 90.00 90.00
Last column: nearest neighbours and their distance in Å.
Space group P4/mmm (No. 123)
One atom of each set of equivalent atoms:
Hf1 0.0000 0.0000 0.0000 [1 per cell]  4 N 2.01
Re1 0.5000 0.5000 0.5000 [1 per cell]  4 Se 2.84
Se1 0.0000 0.0000 0.5000 [1 per cell]  2 Hf 2.72, 4 Re 2.84
N1 0.0000 0.5000 0.0000 [2 per cell]  2 Hf 2.01

## Properties
Formation energy from raw total energies: 1.065 eV per atom
Total moment: 3.930 Bohr magnetons per cell
Electronic total energy: -39.41 eV per cell
Density: 8.96 g/cm3

No. 10
BeSbTe | PBEsol | optimized geometry

abc: 3.8047 6.0055 11.9970
angles: 90.00 90.00 90.00
Last column: nearest neighbours and their distance in Å.
Space group Fmm2 (No. 42)
One atom of each set of equivalent atoms:
Be1 0.0000 0.0000 0.0000 [4 per cell]  2 Te 2.43, 2 Sb 2.54
Sb1 0.0000 0.0000 0.6409 [4 per cell]  2 Be 2.54
Te1 0.0000 0.0000 0.3744 [4 per cell]  2 Be 2.43

## Properties
Formation energy from raw total energies: 0.320 eV per atom
Total moment: 0.000 Bohr magnetons per cell
Electronic total energy: -44.49 eV per cell
E above lowest polymorph: 0.0 meV per atom
Density: 6.26 g/cm3

No. 11
WSeS2Cl | PBEsol | optimized geometry

abc: 4.6347 4.6347 4.6327
angles: 90.00 90.00 90.00
Last column: nearest neighbours and their distance in Å.
Space group P4/mmm (No. 123)
One atom of each set of equivalent atoms:
W1 0.0000 0.0000 0.0000 [1 per cell]  2 Cl 2.32, 4 S 2.32
Se1 0.5000 0.5000 0.5000 [1 per cell]  8 S 3.28, 4 Cl 3.28
S1 0.0000 0.5000 0.0000 [2 per cell]  2 W 2.32
Cl1 0.0000 0.0000 0.5000 [1 per cell]  2 W 2.32

## Properties
Formation energy from raw total energies: 0.218 eV per atom
Total moment: 0.004 Bohr magnetons per cell
Electronic total energy: -27.34 eV per cell
Density: 6.05 g/cm3

No. 12
BeInCu2 | PBEsol | optimized geometry

abc: 5.9240 5.9240 5.9240
angles: 90.00 90.00 90.00
Last column: nearest neighbours and their distance in Å.
Space group F-43m (No. 216)
One atom of each set of equivalent atoms:
Be1 0.0000 0.0000 0.0000 [4 per cell]  4 In 2.57, 4 Cu 2.57
In1 0.2500 0.2500 0.7500 [4 per cell]  4 Be 2.57, 4 Cu 2.57
Cu1 0.0000 0.0000 0.5000 [4 per cell]  4 In 2.57, 4 Cu 2.57
Cu2 0.2500 0.2500 0.2500 [4 per cell]  4 Be 2.57, 4 Cu 2.57

## Properties
Total moment: 0.000 Bohr magnetons per cell
Electronic total energy: -60.03 eV per cell
E above lowest polymorph: 20.1 meV per atom
Density: 8.02 g/cm3